# MgSc2HIr

A relaxed structure of MgSc2HIr (PBE-GGA, the Alexandria database).

a b c (Å): 4.5394 4.5394 3.7963
angles (deg): 90.00 90.00 90.00
Fractional positions:
1 Mg 0.5000 0.5000 0.5000
2 H 0.0000 0.0000 0.0000
3 Sc 0.0000 0.5000 0.0000
4 Sc 0.5000 0.0000 0.0000
5 Ir 0.0000 0.0000 0.5000

Computed properties:
spin magnetization: 0.00 μB/atom
excess energy over the best structure of this formula in the dataset: 0.008 eV/atom

***

# LuCu4Ge

A relaxed structure of LuCu4Ge (PBE-GGA, the Alexandria database).

a b c (Å): 5.0296 5.0296 5.0296
angles (deg): 60.00 60.00 60.00
Fractional positions:
1 Cu 0.6249 0.1252 0.6249
2 Cu 0.6249 0.6249 0.1252
3 Cu 0.6249 0.6249 0.6249
4 Cu 0.1252 0.6249 0.6249
5 Lu 0.0000 0.0000 0.0000
6 Ge 0.2500 0.2500 0.2500

Computed properties:
spin magnetization: 0.00 μB/atom
ΔH_f (0 K): -0.188 eV per atom

***

# HfRuBr2

A relaxed structure of HfRuBr2 (PBE-GGA, the Alexandria database).

a b c (Å): 6.0101 6.0101 6.8832
angles (deg): 64.11 64.11 90.00
Fractional positions:
1 Br 0.8750 0.8548 0.7500
2 Br 0.1452 0.6250 0.2500
3 Br 0.6048 0.1250 0.2500
4 Br 0.3750 0.3952 0.7500
5 Ru 0.2500 0.7500 0.5000
6 Ru 0.5000 0.5000 0.0000
7 Hf 0.0000 0.0000 0.0000
8 Hf 0.7500 0.2500 0.5000

Computed properties:
spin magnetization: 0.00 μB/atom
excess energy over the best structure of this formula in the dataset: 0.516 eV/atom
formation energy from raw total energies: 656 meV per atom